No. 1
Entry from Alexandria via LeMat-Bulk: a relaxed BeFeI2O crystal (GGA+U).

Calculated values
For the calculated volume, the calculation gives 25.762 Å³/atom. As for the density: 4.3 Mg/m³. The uncorrected energy is -19.51 eV for the cell shown. As for the offset from the most stable computed form: 0 kJ/mol of formula units. Its magnetic moment is 4.2 μB/f.u.

Cell lengths 6.613, 6.613, 2.945 Å; angles 90.00, 90.00, 90.00 degrees
Last column: magnetic moment on the atom in μB.
Fractional positions:
O  0.000  0.000  0.500  0.00
I  0.000  0.500  0.000  0.04
I  0.500  0.000  0.000  0.04
Be  0.000  0.000  0.000  0.00
Fe  0.500  0.500  0.500  3.86

---

No. 2
Entry from Alexandria via LeMat-Bulk: a relaxed Be2FeIO crystal (GGA+U).

Calculated values
For the calculated volume, the calculation gives 15.009 Å³/atom. As for the density: 4.8 Mg/m³. The uncorrected energy is -16.97 eV for the cell shown. Its magnetic moment is 1.9 μB/f.u.

Cell lengths 4.553, 3.621, 4.553 Å; angles 90.00, 90.00, 90.00 degrees
Last column: magnetic moment on the atom in μB.
Fractional positions:
O  0.000  0.500  0.000  0.03
Be  0.000  0.000  0.500  -0.09
Be  0.500  0.000  0.000  -0.10
Fe  0.000  0.000  0.000  2.33
I  0.500  0.500  0.500  -0.03

---

No. 3
Entry from Alexandria via LeMat-Bulk: a relaxed BeFeI2O crystal (GGA+U).

Calculated values
For the calculated volume, the calculation gives 23.903 Å³/atom. As for the density: 4.6 Mg/m³. The uncorrected energy is -16.33 eV for the cell shown. As for the offset from the most stable computed form: 307 kJ/mol of formula units. Its magnetic moment is 4.9 μB/f.u.

Cell lengths 5.688, 5.688, 3.694 Å; angles 90.00, 90.00, 90.00 degrees
Last column: magnetic moment on the atom in μB.
Fractional positions:
O  0.000  0.000  0.500  0.36
I  0.000  0.500  0.000  0.11
I  0.500  0.000  0.000  0.11
Be  0.500  0.500  0.500  -0.02
Fe  0.000  0.000  0.000  4.14